No. 1
This record from Alexandria describes an optimized crystal structure of Y2HgC. The functional is PBE-GGA.

Unit cell a=5.0683 b=10.2929 c=7.2587 alpha=90.00 beta=90.00 gamma=90.00
Space group Ima2 (No. 46)
Asymmetric unit:
Y 0.2500 0.1040 0.0000
Y 0.2500 0.6901 0.1724
Hg 0.2500 0.0896 0.4404
C 0.2500 0.6234 0.4782

ρ ... 6.848 Mg/m³
Energy relative to the elements ... -0.209 eV/atom
Total moment ... 0.000 μB/atom
Uncorrected energy ... -5.822 eV/atom

No. 2
This record from Alexandria describes an optimized crystal structure of Y4Hg2C. The functional is PBE-GGA.

Unit cell a=6.4243 b=6.6732 c=9.2029 alpha=90.00 beta=109.47 gamma=90.00
Space group P2_1/m (No. 11)
Asymmetric unit:
Y 0.1650 0.2500 0.0771
Y 0.2257 0.0031 0.7287
Y 0.2976 0.7500 0.3540
Hg 0.2170 0.2500 0.4253
Hg 0.3749 0.7500 0.0349
C 0.0537 0.2500 0.8159

ΔE to the lowest computed polymorph ... 73 kJ/mol of formula units
ρ ... 6.864 Mg/m³
Energy relative to the elements ... -0.262 eV/atom
Total moment ... 0.000 μB/atom
Uncorrected energy ... -5.359 eV/atom

No. 3
This record from Alexandria describes an optimized crystal structure of Y2HgC. The functional is PBE-GGA.

Unit cell a=7.0540 b=7.0540 c=7.7424 alpha=90.00 beta=90.00 gamma=90.00
Space group I-42d (No. 122)
Asymmetric unit:
Y 0.1664 0.2500 0.1250
Hg 0.0000 0.0000 0.5000
C 0.0000 0.0000 0.0000

ρ ... 6.731 Mg/m³
Energy relative to the elements ... -0.159 eV/atom
Total moment ... 0.000 μB/atom
Uncorrected energy ... -5.773 eV/atom

No. 4
This record from Alexandria describes an optimized crystal structure of Y2ZnHgC. The functional is PBE-GGA.

Unit cell a=5.0395 b=5.0395 c=4.0018 alpha=90.00 beta=90.00 gamma=90.00
Space group P4/mmm (No. 123)
Asymmetric unit:
Y 0.0000 0.5000 0.0000
Zn 0.0000 0.0000 0.5000
Hg 0.5000 0.5000 0.5000
C 0.0000 0.0000 0.0000

ρ ... 7.448 Mg/m³
Energy relative to the elements ... -0.272 eV/atom
Total moment ... 0.000 μB/atom
Uncorrected energy ... -5.017 eV/atom

> The highest ρ belongs to which entry?

Y2ZnHgC